Here is crystalline PuThAgPt at its relaxed geometry from Alexandria. Energies are from PBE-GGA.

Formation enthalpy at 0 K in eV/atom: -0.423

Lattice parameters (Å, degrees): 7.261 7.261 7.261 90.00 90.00 90.00
Space group F-43m (No. 216)
One atom of each set of equivalent atoms:
Pu 0.000 0.000 0.000 x4
Th 0.000 0.000 0.500 x4
Ag 0.250 0.250 0.750 x4
Pt 0.250 0.250 0.250 x4